! LaOs2PbO8, optimized geometry, DFT PBE; values from VASP
&SYSTEM
  ibrav = 0, nat = 12, ntyp = 4
/
ATOMIC_SPECIES
La 138.91 La.upf
Os 190.23 Os.upf
Pb 207.20 Pb.upf
O 16.00 O.upf
ATOMIC_POSITIONS crystal
La 0.000 0.000 0.000
Os 0.333 0.667 0.298
Os 0.667 0.333 0.702
Pb 0.000 0.000 0.500
O 0.167 0.333 0.223
O 0.167 0.833 0.223
O 0.333 0.167 0.777
O 0.333 0.667 0.541
O 0.667 0.333 0.459
O 0.667 0.833 0.223
O 0.833 0.167 0.777
O 0.833 0.667 0.777
CELL_PARAMETERS angstrom
6.094 0.000 0.000
-3.047 5.277 0.000
0.000 0.000 7.343
! Raw total energy (eV/f.u.): -86.43
! Formation energy without anion corrections (eV per atom): -1.31
! Total moment (μB per cell): 3.02
! Volume (A^3/atom): 19.7